A geometry-optimized LiV2O3F3 structure, computed with PBE with a Hubbard U.

a b c (Å): 5.096 5.133 13.498
angles (deg): 88.49 88.97 61.48
Each line ends with the local moment (μB).
Fractional coordinates of all 27 atoms:
F 0.262 0.087 0.919  0.00
F 0.397 0.984 0.254  0.01
F 0.068 0.653 0.913  0.00
F 0.977 0.600 0.255  0.00
F 0.006 0.372 0.751  0.00
F 0.311 0.947 0.592  0.00
F 0.966 0.329 0.084  0.00
F 0.303 0.673 0.422  0.01
F 0.736 0.335 0.586  0.01
O 0.650 0.281 0.916  -0.04
O 0.067 0.283 0.418  -0.05
O 0.575 0.415 0.259  -0.13
O 0.617 0.011 0.756  -0.02
O 0.709 0.949 0.085  -0.07
O 0.398 0.609 0.750  -0.03
O 0.342 0.691 0.084  -0.12
O 0.914 0.760 0.592  -0.13
O 0.683 0.037 0.419  -0.10
V 0.683 0.683 0.667  1.12
V 0.404 0.321 0.826  0.15
V 0.631 0.671 0.153  1.16
V 0.973 0.022 0.488  1.06
V 0.347 0.325 0.333  1.17
V 0.988 0.982 0.003  1.82
Li 0.025 0.991 0.710  0.00
Li 0.346 0.314 0.040  0.00
Li 0.691 0.649 0.370  0.00

Output
Electronic total energy, eV for the cell shown: -175.24
Magnetization, μB per atom: 0.222